(1)
A relaxed TmZnHg crystal. Source: OQMD, functional PBE-GGA.

Summary:
formation enthalpy at 0 K: 0.06 eV per atom

Unit cell a=4.813 b=4.813 c=4.813 alpha=60.00 beta=60.00 gamma=60.00
Atoms (fractional coordinates):
Hg  0.250  0.250  0.250
Tm  0.000  0.000  0.000
Zn  0.750  0.750  0.750


(2)
A relaxed Tm5Zn4Hg crystal. Source: OQMD, functional PBE-GGA.

Summary:
formation enthalpy at 0 K: -0.38 eV per atom

Unit cell a=3.530 b=3.530 c=17.856 alpha=90.00 beta=90.00 gamma=90.00
Atoms (fractional coordinates):
Hg  0.000  0.000  0.000
Tm  0.500  0.500  0.110
Tm  0.500  0.500  0.305
Tm  0.500  0.500  0.500
Tm  0.500  0.500  0.695
Tm  0.500  0.500  0.890
Zn  0.000  0.000  0.208
Zn  0.000  0.000  0.402
Zn  0.000  0.000  0.598
Zn  0.000  0.000  0.792


(3)
A relaxed TmZnHg crystal. Source: OQMD, functional PBE-GGA.

Summary:
formation enthalpy at 0 K: -0.21 eV per atom

Unit cell a=4.615 b=4.615 c=4.615 alpha=60.00 beta=60.00 gamma=60.00
Atoms (fractional coordinates):
Hg  0.250  0.250  0.250
Tm  0.750  0.750  0.750
Zn  0.000  0.000  0.000


(4)
A relaxed UHg crystal. Source: OQMD, functional PBE-GGA.

Summary:
formation enthalpy at 0 K: 1.51 eV per atom

Unit cell a=4.862 b=4.862 c=4.862 alpha=60.00 beta=60.00 gamma=60.00
Atoms (fractional coordinates):
Hg  0.000  0.000  0.000
U  0.250  0.250  0.250


(5)
A relaxed UHg crystal. Source: OQMD, functional PBE-GGA.

Summary:
formation enthalpy at 0 K: 0.92 eV per atom

Unit cell a=4.403 b=4.403 c=4.403 alpha=60.00 beta=60.00 gamma=60.00
Atoms (fractional coordinates):
Hg  0.000  0.000  0.000
U  0.500  0.500  0.500


(6)
A relaxed UHg crystal. Source: OQMD, functional PBE-GGA.

Summary:
formation enthalpy at 0 K: 0.22 eV per atom

Unit cell a=3.045 b=3.045 c=5.623 alpha=90.00 beta=90.00 gamma=120.00
Atoms (fractional coordinates):
Hg  0.667  0.333  0.750
U  0.333  0.667  0.250


(7)
A relaxed UHg2 crystal. Source: OQMD, functional PBE-GGA.

Summary:
formation enthalpy at 0 K: 0.11 eV per atom

Unit cell a=5.161 b=5.161 c=3.035 alpha=90.00 beta=90.00 gamma=120.00
Atoms (fractional coordinates):
Hg  0.667  0.333  0.500
Hg  0.333  0.667  0.500
U  0.000  0.000  0.000


(8)
A relaxed ZrUHg crystal. Source: OQMD, functional PBE-GGA.

Summary:
formation enthalpy at 0 K: 0.78 eV per atom
energy above the lowest structure with this stoichiometry: 0.0 meV/atom

Unit cell a=4.943 b=4.943 c=4.943 alpha=60.00 beta=60.00 gamma=60.00
Atoms (fractional coordinates):
Hg  0.000  0.000  0.000
U  0.250  0.250  0.250
Zr  0.750  0.750  0.750


(9)
A relaxed ZrUHg crystal. Source: OQMD, functional PBE-GGA.

Summary:
formation enthalpy at 0 K: 1.03 eV per atom
energy above the lowest structure with this stoichiometry: 248.1 meV/atom

Unit cell a=4.914 b=4.914 c=4.914 alpha=60.00 beta=60.00 gamma=60.00
Atoms (fractional coordinates):
Hg  0.250  0.250  0.250
U  0.000  0.000  0.000
Zr  0.750  0.750  0.750


(10)
A relaxed HgW2 crystal. Source: OQMD, functional PBE-GGA.

Summary:
formation enthalpy at 0 K: 4.62 eV per atom
energy above the lowest structure with this stoichiometry: 3725.2 meV/atom

Unit cell a=8.737 b=8.737 c=8.737 alpha=60.00 beta=60.00 gamma=60.00
Atoms (fractional coordinates):
Hg  0.250  0.250  0.250
Hg  0.500  0.500  0.500
W  0.375  0.375  0.375
W  0.875  0.375  0.375
W  0.375  0.875  0.375
W  0.375  0.375  0.875


(11)
A relaxed HgW2 crystal. Source: OQMD, functional PBE-GGA.

Summary:
formation enthalpy at 0 K: 0.90 eV per atom
energy above the lowest structure with this stoichiometry: 0.0 meV/atom

Unit cell a=5.398 b=5.398 c=5.398 alpha=60.00 beta=60.00 gamma=60.00
Atoms (fractional coordinates):
Hg  0.000  0.000  0.000
Hg  0.250  0.250  0.250
W  0.625  0.625  0.125
W  0.625  0.125  0.625
W  0.125  0.625  0.625
W  0.625  0.625  0.625


(12)
A relaxed ZnHg2W crystal. Source: OQMD, functional PBE-GGA.

Summary:
formation enthalpy at 0 K: 0.95 eV per atom

Unit cell a=4.741 b=4.741 c=4.741 alpha=60.00 beta=60.00 gamma=60.00
Atoms (fractional coordinates):
Hg  0.000  0.000  0.000
Hg  0.750  0.750  0.750
W  0.500  0.500  0.500
Zn  0.250  0.250  0.250